VASP calculation (GGA-PBE) on a relaxed Tl2Cd2H crystal.

Structure (POSCAR):
```
Tl2Cd2H
1.0
-5.3316 3.1000 0.6223
-3.1615 -5.2100 -1.1329
-0.0421 -1.2495 5.8638
Cd Tl H
4 4 2
Direct
0.6713 0.1713 0.0000 Cd
0.1713 0.3287 0.0000 Cd
0.8287 0.6713 0.0000 Cd
0.3287 0.8287 0.0000 Cd
0.3159 0.1841 0.5000 Tl
0.6841 0.8159 0.5000 Tl
0.1841 0.6841 0.5000 Tl
0.8159 0.3159 0.5000 Tl
0.0000 0.0000 0.0000 H
0.5000 0.5000 0.0000 H
```

Output
Fermi-level density of states: 0.40 states/eV per atom
ΔE to the lowest computed polymorph: 0 meV/atom
E: -1.731 eV/atom